First-principles (PBE) data for a relaxed structure of RbInSb2Te, as listed in Alexandria via LeMat-Bulk.

The calculation puts the volume at 249.9 Å³/cell. Its excess energy over the best structure of this formula in the dataset is 4.40 eV per formula unit. The value obtained for the energy relative to the elements, uncorrected is 1.036 eV per atom.

The space group is P4/mmm (No. 123) and the conventional cell measures 6.2481, 6.2481 and 6.4026 Å, with angles of 90.00, 90.00 and 90.00 degrees. The inequivalent atoms are Rb at (0.0000, 0.0000, 0.0000), In at (0.5000, 0.5000, 0.5000), Sb at (0.0000, 0.5000, 0.0000) and Te at (0.0000, 0.0000, 0.5000).

First-principles (PBE) data for a relaxed structure of LaTeP, as listed in Alexandria via LeMat-Bulk.

The calculation puts the volume at 336.3 Å³/cell. The value obtained for the energy relative to the elements, uncorrected is -1.084 eV per atom.

The space group is Ima2 (No. 46) and the conventional cell measures 7.9201, 6.6391 and 6.3958 Å, with angles of 90.00, 90.00 and 90.00 degrees. The inequivalent atoms are La at (0.0000, 0.0000, 0.0000), Te at (0.2500, 0.1123, 0.5971) and P at (0.2500, 0.6651, 0.8212).

First-principles (PBE) data for a relaxed structure of BC2, as listed in Alexandria via LeMat-Bulk.

The calculation puts the volume at 77.1 Å³/cell. As for the formation energy: 367.7 meV/atom. Its excess energy over the best structure of this formula in the dataset is 0.38 eV per formula unit.

The space group is P1 (No. 1) and the conventional cell measures 4.5308, 4.5460 and 4.5611 Å, with angles of 60.42, 70.69 and 78.95 degrees. The inequivalent atoms are B at (0.0000, 0.0000, 0.0000), B at (0.0115, 0.2605, 0.3857), B at (0.1707, 0.5901, 0.3707), B at (0.5376, 0.2883, 0.8752), C at (0.0199, 0.6185, 0.7240), C at (0.1497, 0.3008, 0.9872), C at (0.1612, 0.9433, 0.6657), C at (0.5244, 0.9441, 0.5472), C at (0.5361, 0.6202, 0.2009), C at (0.6333, 0.2785, 0.4932), C at (0.6471, 0.9247, 0.1957) and C at (0.6564, 0.6282, 0.8355).

First-principles (PBE) data for a relaxed structure of DyEr5Tl5, as listed in Alexandria via LeMat-Bulk.

The calculation puts the volume at 654.5 Å³/cell. As for the formation energy: -80.3 meV/atom.

The space group is C2/m (No. 12) and the conventional cell measures 16.0389, 5.8413 and 7.0793 Å, with angles of 90.00, 99.33 and 90.00 degrees. The inequivalent atoms are Dy at (0.0000, 0.0000, 0.0000), Er at (0.0000, 0.0000, 0.5000), Er at (0.1333, 0.5000, 0.4051), Er at (0.1755, 0.5000, 0.9156), Tl at (0.0000, 0.5000, 0.0000), Tl at (0.1704, 0.0000, 0.2800) and Tl at (0.1759, 0.0000, 0.7312).

First-principles (PBE) data for a relaxed structure of BaPCl2O, as listed in Alexandria via LeMat-Bulk.

The calculation puts the volume at 116.3 Å³/cell. Its excess energy over the best structure of this formula in the dataset is 0.00 eV per formula unit. The value obtained for the energy relative to the elements, uncorrected is -1.036 eV per atom.

The space group is P4/mmm (No. 123) and the conventional cell measures 5.7507, 5.7507 and 3.5161 Å, with angles of 90.00, 90.00 and 90.00 degrees. The inequivalent atoms are Ba at (0.0000, 0.0000, 0.0000), P at (0.5000, 0.5000, 0.0000), Cl at (0.0000, 0.5000, 0.5000) and O at (0.5000, 0.5000, 0.5000).

First-principles (PBE) data for a relaxed structure of Rb3MnBi, as listed in Alexandria via LeMat-Bulk.

The calculation puts the volume at 373.7 Å³/cell. As for the formation energy: 494.9 meV/atom. Its excess energy over the best structure of this formula in the dataset is 0.00 eV per formula unit.

The space group is Pm-3m (No. 221) and the conventional cell measures 7.2031, 7.2031 and 7.2031 Å, with angles of 90.00, 90.00 and 90.00 degrees. The inequivalent atoms are Rb at (0.0000, 0.0000, 0.5000), Mn at (0.5000, 0.5000, 0.5000) and Bi at (0.0000, 0.0000, 0.0000).

| no. | DOS(E_F) (states/eV per cell) | magnetization (μB/cell) |
| --- | --- | --- |
| 1 | 6.68 | 1.03 |
| 2 | 1.03 | 0.00 |
| 3 | 1.83 | 0.00 |
| 4 | 19.49 | 0.00 |
| 5 | 1.39 | 0.00 |
| 6 | 10.38 | 5.00 |